Compound: La2PuSn
Source: Alexandria
Functional: PBE-GGA
Structure: optimized geometry

Cell: 3.4672 3.4672 36.1653 Å, 90.00 90.00 120.00°
Space group R-3m (No. 166, hexagonal axes)
Unique sites:
La 0.0000 0.0000 0.0904 (multiplicity 6)
Pu 0.0000 0.0000 0.0000 (multiplicity 3)
Sn 0.0000 0.0000 0.5000 (multiplicity 3)

Summary:
ΔH_f (0 K)	43	meV per atom
DOS at the Fermi energy	3.391	states/eV per atom
excess energy over the best structure of this formula in the dataset	38.9	kJ/mol of atoms